{"formula": "Zr2TaSi2", "functional": "PBE", "state": "relaxed", "sg": "P4/mbm, No. 127", "volume_a3_per_cell": 177, "total_energy_ev_per_atom": -8.79, "lattice": [[6.8785, 0.0000, 0.0000], [0.0000, 6.8785, 0.0000], [0.0000, 0.0000, 3.7468]], "species": ["Zr", "Zr", "Zr", "Zr", "Ta", "Ta", "Si", "Si", "Si", "Si"], "frac_coords": [[0.1750, 0.3250, 0.0000], [0.3250, 0.8250, 0.0000], [0.6750, 0.1750, 0.0000], [0.8250, 0.6750, 0.0000], [0.0000, 0.0000, 0.5000], [0.5000, 0.5000, 0.5000], [0.1255, 0.6255, 0.5000], [0.3745, 0.1255, 0.5000], [0.6255, 0.8745, 0.5000], [0.8745, 0.3745, 0.5000]]}